No. 1
Ac6Tl2Ge PBE optimized geometry; space group = Amm2; energy relative to the elements = -0.323 eV per atom
1.0
4.3173 0.0000 0.0000
0.0000 8.5997 -3.9599
0.0000 -0.8690 9.4307
Ac Tl Ge
6 2 1
Direct
0.0000 0.7476 0.7474
0.0000 0.0002 0.2526
0.0000 0.2520 0.0000
0.5000 0.6008 0.0000
0.5000 0.0003 0.6009
0.5000 0.3994 0.3991
0.0000 0.6668 0.3333
0.0000 0.3335 0.6667
0.5000 0.9994 0.0000

***

No. 2
Ac2TlGe2 PBE optimized geometry; space group = P4/mbm; energy relative to the elements = -0.648 eV per atom
1.0
8.1400 0.0000 0.0000
0.0000 8.1400 0.0000
0.0000 0.0000 9.0568
Tl Ac Ge
4 8 8
Direct
0.5000 0.5000 0.7498
0.5000 0.5000 0.2502
0.0000 0.0000 0.2498
0.0000 0.0000 0.7502
0.3191 0.1810 0.0000
0.8190 0.3191 0.0000
0.8191 0.3190 0.5000
0.6810 0.8191 0.5000
0.1809 0.6810 0.5000
0.1810 0.6809 0.0000
0.3190 0.1809 0.5000
0.6809 0.8190 0.0000
0.3881 0.8881 0.7500
0.8881 0.6119 0.2500
0.1119 0.3881 0.7500
0.1119 0.3881 0.2500
0.3881 0.8881 0.2500
0.8881 0.6119 0.7500
0.6119 0.1119 0.2500
0.6119 0.1119 0.7500

***

No. 3
AcTlGe2 PBE optimized geometry; space group = R-3m; energy relative to the elements = -0.194 eV per atom
1.0
4.9183 0.0000 0.0000
2.4591 4.2594 0.0000
2.4591 1.4198 5.2598
Ge Tl Ac
2 1 1
Direct
0.7167 0.7167 0.8499
0.2833 0.2833 0.1501
0.0000 0.0000 0.0000
0.5000 0.5000 0.5000

***

No. 4
AcTlGe2 PBE optimized geometry; space group = P4/mmm; energy relative to the elements = -0.294 eV per atom
1.0
-2.8503 -0.6912 -3.3762
-3.5052 -1.1170 3.1879
-1.3359 4.6779 0.1702
Ge Tl Ac
2 1 1
Direct
0.0000 0.5000 0.0000
0.0000 0.0000 0.5000
0.5000 0.0000 0.0000
0.5000 0.5000 0.5000